K3PmY2O6 PBE relaxed; SG = C2/m (12); raw total energy = -6.94 eV/atom
1.0
3.058 -5.297 0.000
3.058 5.297 0.000
-2.039 0.000 6.279
K Pm Y O
3 1 2 6
direct
0.000 0.000 0.000
0.332 0.668 0.000
0.668 0.332 0.000
0.500 0.500 0.500
0.167 0.833 0.500
0.833 0.167 0.500
0.097 0.438 0.313
0.222 0.222 0.687
0.438 0.097 0.313
0.562 0.903 0.687
0.778 0.778 0.313
0.903 0.562 0.687


K4Pm3YO8 PBE relaxed; SG = R-3m (166); raw total energy = -6.72 eV/atom
1.0
3.581 2.068 6.293
-3.581 2.068 6.293
0.000 -4.135 6.293
K Pm Y O
4 3 1 8
direct
0.000 0.000 0.000
0.000 0.500 0.500
0.500 0.000 0.500
0.500 0.500 0.000
0.000 0.000 0.500
0.000 0.500 0.000
0.500 0.000 0.000
0.500 0.500 0.500
0.230 0.230 0.230
0.236 0.726 0.726
0.274 0.274 0.764
0.274 0.764 0.274
0.726 0.236 0.726
0.726 0.726 0.236
0.764 0.274 0.274
0.770 0.770 0.770


KPm2ZnO5 PBE relaxed; SG = I4/mcm (140); raw total energy = -6.43 eV/atom
1.0
-3.384 3.384 5.810
3.384 -3.384 5.810
3.384 3.384 -5.810
K Pm Zn O
2 4 2 10
direct
0.250 0.250 0.000
0.750 0.750 0.000
0.173 0.673 0.846
0.327 0.173 0.500
0.673 0.827 0.500
0.827 0.327 0.154
0.250 0.750 0.500
0.750 0.250 0.500
0.000 0.000 0.000
0.013 0.237 0.500
0.237 0.737 0.223
0.263 0.487 0.500
0.487 0.987 0.223
0.500 0.500 0.000
0.513 0.013 0.777
0.737 0.513 0.500
0.763 0.263 0.777
0.987 0.763 0.500


K2PmZn2O4 PBE relaxed; SG = C2/m (12); raw total energy = -4.96 eV/atom
1.0
7.267 -1.729 0.000
7.267 1.729 0.000
-1.524 0.000 6.469
K Pm Zn O
2 1 2 4
direct
0.132 0.132 0.073
0.868 0.868 0.927
0.000 0.000 0.500
0.317 0.317 0.456
0.683 0.683 0.544
0.165 0.165 0.697
0.442 0.442 0.679
0.558 0.558 0.321
0.835 0.835 0.303


K3Pm3ZrO8 PBE relaxed; SG = R-3m (166); raw total energy = -7.18 eV/atom
1.0
3.528 2.037 6.339
-3.528 2.037 6.339
0.000 -4.074 6.339
K Pm Zr O
3 3 1 8
direct
0.000 0.500 0.500
0.500 0.000 0.500
0.500 0.500 0.000
0.000 0.000 0.500
0.000 0.500 0.000
0.500 0.000 0.000
0.500 0.500 0.500
0.229 0.229 0.229
0.254 0.711 0.711
0.289 0.289 0.746
0.289 0.746 0.289
0.711 0.254 0.711
0.711 0.711 0.254
0.746 0.289 0.289
0.771 0.771 0.771


KPr2O3 PBE relaxed; SG = P6_3/mmc (194); raw total energy = -6.84 eV/atom
1.0
3.634 0.000 0.000
-1.817 3.147 0.000
0.000 0.000 18.705
K Pr O
2 4 6
direct
0.000 0.000 0.250
0.000 0.000 0.750
0.333 0.667 0.080
0.333 0.667 0.420
0.667 0.333 0.580
0.667 0.333 0.920
0.000 0.000 0.000
0.000 0.000 0.500
0.333 0.667 0.646
0.333 0.667 0.854
0.667 0.333 0.146
0.667 0.333 0.354


KPrO PBE relaxed; SG = P4/nmm (129); raw total energy = -5.16 eV/atom
1.0
4.769 0.000 0.000
0.000 4.769 0.000
0.000 0.000 9.686
K Pr O
2 2 2
direct
0.250 0.250 0.151
0.750 0.750 0.849
0.250 0.750 0.500
0.750 0.250 0.500
0.250 0.250 0.447
0.750 0.750 0.553


KPrO2 PBE relaxed; SG = R3m (160); raw total energy = -6.48 eV/atom
1.0
1.828 1.055 6.500
-1.828 1.055 6.500
0.000 -2.111 6.500
K Pr O
1 1 2
direct
0.000 0.000 0.000
0.829 0.829 0.829
0.224 0.224 0.224
0.431 0.431 0.431


KPr2O PBE relaxed; SG = R-3m (166); raw total energy = -4.95 eV/atom
1.0
1.890 1.091 10.438
-1.890 1.091 10.438
0.000 -2.183 10.438
K Pr O
1 2 1
direct
0.000 0.000 0.000
0.124 0.124 0.124
0.876 0.876 0.876
0.500 0.500 0.500


KPrO2 PBE relaxed; SG = R-3m (166); raw total energy = -6.52 eV/atom
1.0
1.839 1.062 6.325
-1.839 1.062 6.325
0.000 -2.124 6.325
K Pr O
1 1 2
direct
0.000 0.000 0.000
0.500 0.500 0.500
0.231 0.231 0.231
0.769 0.769 0.769


K14Pr2O9 PBE relaxed; SG = P-3 (147); raw total energy = -4.16 eV/atom
1.0
7.955 0.000 0.000
-3.977 6.889 0.000
0.000 0.000 11.118
K Pr O
14 2 9
direct
0.000 0.000 0.246
0.000 0.000 0.754
0.058 0.689 0.911
0.103 0.379 0.590
0.277 0.897 0.590
0.311 0.369 0.911
0.369 0.058 0.089
0.379 0.277 0.410
0.621 0.723 0.590
0.631 0.942 0.911
0.689 0.631 0.089
0.723 0.103 0.410
0.897 0.621 0.410
0.942 0.311 0.089
0.333 0.667 0.270
0.667 0.333 0.730
0.000 0.000 0.000
0.104 0.366 0.342
0.262 0.896 0.342
0.333 0.667 0.063
0.366 0.262 0.658
0.634 0.738 0.342
0.667 0.333 0.937
0.738 0.104 0.658
0.896 0.634 0.658


KPr2O4 PBE relaxed; SG = I-42d (122); raw total energy = -6.84 eV/atom
1.0
-3.719 3.719 3.886
3.719 -3.719 3.886
3.719 3.719 -3.886
K Pr O
2 4 8
direct
0.000 0.000 0.000
0.750 0.250 0.500
0.245 0.125 0.620
0.375 0.755 0.880
0.505 0.625 0.380
0.875 0.495 0.120
0.160 0.413 0.425
0.163 0.410 0.925
0.265 0.840 0.254
0.485 0.238 0.075
0.587 0.012 0.746
0.590 0.515 0.754
0.762 0.837 0.246
0.988 0.735 0.575


For the records above, the corresponding M_tot values read 0.0 0.0 1.9 0.0 0.0 0.0 0.0 0.0 1.1 0.0 1.4 2.0 μB per cell.